# 1
## SbIr2Rh (GGA-PBE)

Data for a geometry-optimized SbIr2Rh structure.

Calculated values
VASP energy = -28.83 eV per formula unit
DOS at the Fermi energy = 5.10 states/eV/f.u.
Size of the total moment = 0.000 μB/atom

abc: 4.7926 4.7926 4.7926
angles: 129.89 129.89 73.58
Positions (direct):
Ir  0.7500  0.2500  0.5000
Ir  0.2500  0.7500  0.5000
Sb  0.0000  0.0000  0.0000
Rh  0.5000  0.5000  0.0000

# 2
## SbIr2Rh (GGA-PBE)

Data for a geometry-optimized SbIr2Rh structure.

Calculated values
VASP energy = -27.91 eV per formula unit
DOS at the Fermi energy = 4.92 states/eV/f.u.
Size of the total moment = 0.000 μB/atom

abc: 2.9656 2.9656 7.3862
angles: 90.00 90.00 90.00
Positions (direct):
Sb  0.5000  0.5000  0.5000
Rh  0.5000  0.5000  0.0000
Ir  0.0000  0.0000  0.7570
Ir  0.0000  0.0000  0.2430

# 3
## SbIr2Rh (GGA-PBE)

Data for a geometry-optimized SbIr2Rh structure.

Calculated values
VASP energy = -28.72 eV per formula unit
DOS at the Fermi energy = 3.21 states/eV/f.u.
Size of the total moment = 0.000 μB/atom

abc: 4.7583 4.7583 2.9618
angles: 90.00 90.00 107.86
Positions (direct):
Sb  0.5000  0.5000  0.5000
Rh  0.0000  0.0000  0.5000
Ir  0.5000  0.0000  0.0000
Ir  0.0000  0.5000  0.0000

# 4
## SbIr2Rh (GGA-PBE)

Data for a geometry-optimized SbIr2Rh structure.

Calculated values
VASP energy = -29.39 eV per formula unit
DOS at the Fermi energy = 1.73 states/eV/f.u.
Size of the total moment = 0.000 μB/atom

abc: 3.9848 3.9848 3.9680
angles: 90.00 90.00 90.00
Positions (direct):
Rh  0.5000  0.5000  0.5000
Sb  0.0000  0.0000  0.5000
Ir  0.0000  0.5000  0.0000
Ir  0.5000  0.0000  0.0000

# 5
## Sb3IrRh (GGA-PBE)

Data for a geometry-optimized Sb3IrRh structure.

Calculated values
VASP energy = -24.59 eV per formula unit
DOS at the Fermi energy = 3.71 states/eV/f.u.
Size of the total moment = 0.000 μB/atom

abc: 5.0965 5.0965 5.0965
angles: 90.00 90.00 90.00
Positions (direct):
Sb  0.0000  0.5000  0.0000
Sb  0.0000  0.0000  0.5000
Sb  0.5000  0.0000  0.0000
Ir  0.0000  0.0000  0.0000
Rh  0.5000  0.5000  0.5000

# 6
## SbIr2Rh (GGA-PBE)

Data for a geometry-optimized SbIr2Rh structure.

Calculated values
VASP energy = -26.23 eV per formula unit
DOS at the Fermi energy = 5.17 states/eV/f.u.
Size of the total moment = 0.000 μB/atom

abc: 5.3521 5.3521 7.5109
angles: 69.13 69.13 90.00
Positions (direct):
Ir  0.1526  0.6250  0.2500
Ir  0.5974  0.1250  0.2500
Ir  0.3750  0.4026  0.7500
Ir  0.8750  0.8474  0.7500
Sb  0.0000  0.0000  0.0000
Sb  0.7500  0.2500  0.5000
Rh  0.2500  0.7500  0.5000
Rh  0.5000  0.5000  0.0000